Here is an optimized crystal structure of BeOs3 from Alexandria. Energies are from GGA-PBE.

Geometry as POSCAR:
```
BeOs3
1.0
-0.577 3.660 -0.721
0.613 -0.627 -3.672
-3.680 -0.679 -0.498
Os Be
3 1
Direct
0.500 0.500 0.000
0.500 0.000 0.500
0.000 0.500 0.500
0.000 0.000 0.000
```

- Total magnetization: 0.0 μB per cell
- Formation energy from the elements: 0.429 eV/atom
- E: -8.925 eV/atom